# LuGeAsO (PBE, relaxed)
data_LuGeAsO
_cell_length_a 3.836
_cell_length_b 8.276
_cell_length_c 5.827
_cell_angle_alpha 90.00
_cell_angle_beta 90.00
_cell_angle_gamma 90.00
_symmetry_space_group_name_H-M 'P 1'
_symmetry_Int_Tables_number 1
loop_
_symmetry_equiv_pos_as_xyz
'x,y,z'
loop_
_atom_site_label
_atom_site_type_symbol
_atom_site_fract_x
_atom_site_fract_y
_atom_site_fract_z
As1 As 0.000 0.319 0.411
As2 As 0.000 0.681 0.911
Lu1 Lu 0.000 0.659 0.424
Lu2 Lu 0.000 0.341 0.924
Ge1 Ge 0.500 0.141 0.554
Ge2 Ge 0.500 0.859 0.054
O1 O 0.500 0.752 0.365
O2 O 0.500 0.248 0.865
# * crystal system: orthorhombic


# YCuTcSn (PBE, relaxed)
data_YCuTcSn
_cell_length_a 4.779
_cell_length_b 4.779
_cell_length_c 4.779
_cell_angle_alpha 60.00
_cell_angle_beta 60.00
_cell_angle_gamma 60.00
_symmetry_space_group_name_H-M 'P 1'
_symmetry_Int_Tables_number 1
loop_
_symmetry_equiv_pos_as_xyz
'x,y,z'
loop_
_atom_site_label
_atom_site_type_symbol
_atom_site_fract_x
_atom_site_fract_y
_atom_site_fract_z
Sn1 Sn 0.000 0.000 0.000
Cu1 Cu 0.750 0.750 0.750
Y1 Y 0.250 0.250 0.250
Tc1 Tc 0.500 0.500 0.500
# * crystal system: cubic


# Y2ScAg2 (PBE, relaxed)
data_Y2ScAg2
_cell_length_a 7.702
_cell_length_b 7.702
_cell_length_c 7.702
_cell_angle_alpha 147.67
_cell_angle_beta 147.67
_cell_angle_gamma 46.37
_symmetry_space_group_name_H-M 'P 1'
_symmetry_Int_Tables_number 1
loop_
_symmetry_equiv_pos_as_xyz
'x,y,z'
loop_
_atom_site_label
_atom_site_type_symbol
_atom_site_fract_x
_atom_site_fract_y
_atom_site_fract_z
Y1 Y 0.610 0.610 0.000
Y2 Y 0.390 0.390 0.000
Ag1 Ag 0.750 0.250 0.500
Ag2 Ag 0.250 0.750 0.500
Sc1 Sc 0.000 0.000 0.000
# * crystal system: tetragonal
# * formation energy: 0.17 eV/atom


# CsTe3Mo3 (PBE, relaxed)
data_CsTe3Mo3
_cell_length_a 10.264
_cell_length_b 10.263
_cell_length_c 4.622
_cell_angle_alpha 90.00
_cell_angle_beta 90.00
_cell_angle_gamma 120.00
_symmetry_space_group_name_H-M 'P 1'
_symmetry_Int_Tables_number 1
loop_
_symmetry_equiv_pos_as_xyz
'x,y,z'
loop_
_atom_site_label
_atom_site_type_symbol
_atom_site_fract_x
_atom_site_fract_y
_atom_site_fract_z
Cs1 Cs 0.333 0.667 0.250
Cs2 Cs 0.667 0.333 0.750
Te1 Te 0.959 0.296 0.250
Te2 Te 0.041 0.704 0.750
Te3 Te 0.337 0.041 0.250
Te4 Te 0.663 0.959 0.750
Te5 Te 0.704 0.663 0.250
Te6 Te 0.296 0.337 0.750
Mo1 Mo 0.140 0.159 0.250
Mo2 Mo 0.019 0.860 0.250
Mo3 Mo 0.981 0.140 0.750
Mo4 Mo 0.841 0.981 0.250
Mo5 Mo 0.860 0.841 0.750
Mo6 Mo 0.159 0.019 0.750
# * crystal system: hexagonal


# Nb2C (PBE, relaxed)
data_Nb2C
_cell_length_a 3.916
_cell_length_b 3.916
_cell_length_c 3.916
_cell_angle_alpha 60.00
_cell_angle_beta 60.00
_cell_angle_gamma 60.00
_symmetry_space_group_name_H-M 'P 1'
_symmetry_Int_Tables_number 1
loop_
_symmetry_equiv_pos_as_xyz
'x,y,z'
loop_
_atom_site_label
_atom_site_type_symbol
_atom_site_fract_x
_atom_site_fract_y
_atom_site_fract_z
C1 C 0.000 0.000 0.000
Nb1 Nb 0.750 0.750 0.750
Nb2 Nb 0.250 0.250 0.250
# * crystal system: cubic


# GdTlZnTe3 (PBE, relaxed)
data_GdTlZnTe3
_cell_length_a 9.063
_cell_length_b 4.639
_cell_length_c 17.755
_cell_angle_alpha 90.00
_cell_angle_beta 90.00
_cell_angle_gamma 90.00
_symmetry_space_group_name_H-M 'P 1'
_symmetry_Int_Tables_number 1
loop_
_symmetry_equiv_pos_as_xyz
'x,y,z'
loop_
_atom_site_label
_atom_site_type_symbol
_atom_site_fract_x
_atom_site_fract_y
_atom_site_fract_z
Tl1 Tl 0.934 0.250 0.210
Tl2 Tl 0.066 0.750 0.790
Tl3 Tl 0.566 0.750 0.710
Tl4 Tl 0.434 0.250 0.290
Te1 Te 0.794 0.250 0.786
Te2 Te 0.295 0.250 0.714
Te3 Te 0.705 0.750 0.286
Te4 Te 0.503 0.250 0.087
Te5 Te 0.997 0.750 0.587
Te6 Te 0.374 0.750 0.446
Te7 Te 0.003 0.250 0.413
Te8 Te 0.126 0.250 0.946
Te9 Te 0.206 0.750 0.214
Te10 Te 0.626 0.250 0.554
Te11 Te 0.874 0.750 0.054
Te12 Te 0.497 0.750 0.913
Gd1 Gd 0.745 0.750 0.454
Gd2 Gd 0.255 0.250 0.546
Gd3 Gd 0.245 0.750 0.046
Gd4 Gd 0.755 0.250 0.954
Zn1 Zn 0.630 0.750 0.143
Zn2 Zn 0.370 0.250 0.857
Zn3 Zn 0.870 0.250 0.643
Zn4 Zn 0.130 0.750 0.357
# * crystal system: orthorhombic


# RbDyNiS3 (PBE, relaxed)
data_RbDyNiS3
_cell_length_a 7.618
_cell_length_b 7.618
_cell_length_c 10.384
_cell_angle_alpha 90.00
_cell_angle_beta 90.00
_cell_angle_gamma 29.93
_symmetry_space_group_name_H-M 'P 1'
_symmetry_Int_Tables_number 1
loop_
_symmetry_equiv_pos_as_xyz
'x,y,z'
loop_
_atom_site_label
_atom_site_type_symbol
_atom_site_fract_x
_atom_site_fract_y
_atom_site_fract_z
S1 S 0.052 0.052 0.250
S2 S 0.618 0.618 0.930
S3 S 0.382 0.382 0.430
S4 S 0.618 0.618 0.570
S5 S 0.382 0.382 0.070
S6 S 0.948 0.948 0.750
Ni1 Ni 0.532 0.532 0.750
Ni2 Ni 0.468 0.468 0.250
Dy1 Dy 0.000 0.000 0.500
Dy2 Dy 0.000 0.000 0.000
Rb1 Rb 0.743 0.743 0.250
Rb2 Rb 0.257 0.257 0.750
# * crystal system: orthorhombic


# GdBeIn (PBE, relaxed)
data_GdBeIn
_cell_length_a 4.707
_cell_length_b 4.707
_cell_length_c 4.707
_cell_angle_alpha 60.00
_cell_angle_beta 60.00
_cell_angle_gamma 60.00
_symmetry_space_group_name_H-M 'P 1'
_symmetry_Int_Tables_number 1
loop_
_symmetry_equiv_pos_as_xyz
'x,y,z'
loop_
_atom_site_label
_atom_site_type_symbol
_atom_site_fract_x
_atom_site_fract_y
_atom_site_fract_z
Be1 Be 0.250 0.250 0.250
Gd1 Gd 0.750 0.750 0.750
In1 In 0.000 0.000 0.000
# * crystal system: cubic


# GaTcOs (PBE, relaxed)
data_GaTcOs
_cell_length_a 4.158
_cell_length_b 4.158
_cell_length_c 4.158
_cell_angle_alpha 60.00
_cell_angle_beta 60.00
_cell_angle_gamma 60.00
_symmetry_space_group_name_H-M 'P 1'
_symmetry_Int_Tables_number 1
loop_
_symmetry_equiv_pos_as_xyz
'x,y,z'
loop_
_atom_site_label
_atom_site_type_symbol
_atom_site_fract_x
_atom_site_fract_y
_atom_site_fract_z
Ga1 Ga 0.250 0.250 0.250
Os1 Os 0.750 0.750 0.750
Tc1 Tc 0.000 0.000 0.000
# * crystal system: cubic


# ZrSb2Au (PBE, relaxed)
data_ZrSb2Au
_cell_length_a 5.077
_cell_length_b 5.077
_cell_length_c 5.077
_cell_angle_alpha 60.00
_cell_angle_beta 60.00
_cell_angle_gamma 60.00
_symmetry_space_group_name_H-M 'P 1'
_symmetry_Int_Tables_number 1
loop_
_symmetry_equiv_pos_as_xyz
'x,y,z'
loop_
_atom_site_label
_atom_site_type_symbol
_atom_site_fract_x
_atom_site_fract_y
_atom_site_fract_z
Sb1 Sb 0.000 0.000 0.000
Sb2 Sb 0.250 0.250 0.250
Au1 Au 0.500 0.500 0.500
Zr1 Zr 0.750 0.750 0.750
# * crystal system: cubic


# RbPrTe (PBE, relaxed)
data_RbPrTe
_cell_length_a 5.556
_cell_length_b 5.556
_cell_length_c 5.556
_cell_angle_alpha 60.00
_cell_angle_beta 60.00
_cell_angle_gamma 60.00
_symmetry_space_group_name_H-M 'P 1'
_symmetry_Int_Tables_number 1
loop_
_symmetry_equiv_pos_as_xyz
'x,y,z'
loop_
_atom_site_label
_atom_site_type_symbol
_atom_site_fract_x
_atom_site_fract_y
_atom_site_fract_z
Rb1 Rb 0.750 0.750 0.750
Te1 Te 0.000 0.000 0.000
Pr1 Pr 0.250 0.250 0.250
# * crystal system: cubic


# YErAl4Ni2 (PBE, relaxed)
data_YErAl4Ni2
_cell_length_a 6.875
_cell_length_b 5.473
_cell_length_c 5.473
_cell_angle_alpha 43.49
_cell_angle_beta 90.00
_cell_angle_gamma 90.00
_symmetry_space_group_name_H-M 'P 1'
_symmetry_Int_Tables_number 1
loop_
_symmetry_equiv_pos_as_xyz
'x,y,z'
loop_
_atom_site_label
_atom_site_type_symbol
_atom_site_fract_x
_atom_site_fract_y
_atom_site_fract_z
Y1 Y 0.000 0.561 0.561
Ni1 Ni 0.000 0.284 0.284
Ni2 Ni 0.500 0.716 0.716
Al1 Al 0.695 0.157 0.157
Al2 Al 0.195 0.843 0.843
Al3 Al 0.805 0.843 0.843
Al4 Al 0.305 0.157 0.157
Er1 Er 0.500 0.439 0.439
# * crystal system: orthorhombic


Calculated E in order - -6.087; -5.800; -4.808; -6.626; -9.561; -3.682; -5.203; -3.519; -7.947; -5.030; -3.341; -5.294 eV/atom